# 1
# Si2IrAu | Alexandria via LeMat-Bulk | SCAN | PBEsol geometry
# Total magnetic moment   0.00 μB per cell
# Energy relative to the lowest polymorph listed for this composition   178 meV/atom
# Fermi-level density of states   6.98 states/eV/cell
# VASP energy   -40.161 eV/atom
# ΔE_f (raw)   -0.4 eV per formula unit
data_Si2IrAu
_chemical_formula_sum 'Si8 Ir4 Au4'
_cell_length_a 5.5486
_cell_length_b 5.5486
_cell_length_c 10.3777
_cell_angle_alpha 90.00
_cell_angle_beta 90.00
_cell_angle_gamma 90.00
_symmetry_space_group_name_H-M 'I -4 2 d'
_symmetry_Int_Tables_number 122
_symmetry_space_group_name_Hall 'I -4 2bw'
loop_
_atom_site_label
_atom_site_fract_x
_atom_site_fract_y
_atom_site_fract_z
Si1 0.2281 0.2500 0.1250
Ir1 0.0000 0.0000 0.0000
Au1 0.0000 0.0000 0.5000

# 2
# Mg3Cu5 | Alexandria via LeMat-Bulk | SCAN | PBEsol geometry
# Total magnetic moment   0.00 μB per cell
# Energy relative to the lowest polymorph listed for this composition   0 meV/atom
# Fermi-level density of states   2.51 states/eV/cell
# VASP energy   -11.446 eV/atom
data_Mg3Cu5
_chemical_formula_sum 'Mg3 Cu5'
_cell_length_a 3.0615
_cell_length_b 3.0615
_cell_length_c 11.8217
_cell_angle_alpha 90.00
_cell_angle_beta 90.00
_cell_angle_gamma 90.00
_symmetry_space_group_name_H-M 'P 4/m m m'
_symmetry_Int_Tables_number 123
_symmetry_space_group_name_Hall '-P 4 2'
loop_
_atom_site_label
_atom_site_fract_x
_atom_site_fract_y
_atom_site_fract_z
Mg1 0.0000 0.0000 0.0000
Mg2 0.5000 0.5000 0.3673
Cu1 0.0000 0.0000 0.2345
Cu2 0.0000 0.0000 0.5000
Cu3 0.5000 0.5000 0.1331

# 3
# FeHg2Ir | Alexandria via LeMat-Bulk | SCAN | PBEsol geometry
# Total magnetic moment   6.17 μB per cell
# Energy relative to the lowest polymorph listed for this composition   267 meV/atom
# Fermi-level density of states   4.50 states/eV/cell
# VASP energy   -55.884 eV/atom
data_FeHg2Ir
_chemical_formula_sum 'Fe2 Hg4 Ir2'
_cell_length_a 5.6202
_cell_length_b 7.8297
_cell_length_c 2.9796
_cell_angle_alpha 90.00
_cell_angle_beta 90.00
_cell_angle_gamma 90.00
_symmetry_space_group_name_H-M 'C m m m'
_symmetry_Int_Tables_number 65
_symmetry_space_group_name_Hall '-C 2 2'
loop_
_atom_site_label
_atom_site_fract_x
_atom_site_fract_y
_atom_site_fract_z
Fe1 0.0000 0.0000 0.0000
Hg1 0.2500 0.2500 0.5000
Ir1 0.0000 0.5000 0.0000

# 4
# LiCoPO4 | Alexandria via LeMat-Bulk | SCAN | PBEsol geometry
# Total magnetic moment   9.00 μB per cell
# Energy relative to the lowest polymorph listed for this composition   93 meV/atom
# Fermi-level density of states   0.00 states/eV/cell
# VASP energy   -9.995 eV/atom
# ΔE_f (raw)   -14.9 eV per formula unit
data_LiCoPO4
_chemical_formula_sum 'Li3 Co3 P3 O12'
_cell_length_a 5.2106
_cell_length_b 5.2106
_cell_length_c 12.4250
_cell_angle_alpha 90.00
_cell_angle_beta 90.00
_cell_angle_gamma 120.00
_symmetry_space_group_name_H-M 'P 62 2 2'
_symmetry_Int_Tables_number 180
_symmetry_space_group_name_Hall 'P 62 2 (0 0 4)'
loop_
_atom_site_label
_atom_site_fract_x
_atom_site_fract_y
_atom_site_fract_z
Li1 0.0000 0.0000 0.0000
Co1 0.0000 0.5000 0.1667
P1 0.0000 0.5000 0.6667
O1 0.1815 0.4002 0.7356

# 5
# Sr8Ga16S31 | Alexandria via LeMat-Bulk | SCAN | PBEsol geometry
# Total magnetic moment   0.00 μB per cell
# Fermi-level density of states   0.00 states/eV/cell
# VASP energy   -14.734 eV/atom
# ΔE_f (raw)   -72.1 eV per formula unit
data_Sr8Ga16S31
_chemical_formula_sum 'Sr8 Ga16 S31'
_cell_length_a 11.7733
_cell_length_b 11.8602
_cell_length_c 11.9949
_cell_angle_alpha 105.06
_cell_angle_beta 104.69
_cell_angle_gamma 118.61
_symmetry_space_group_name_H-M 'P 1'
_symmetry_Int_Tables_number 1
_symmetry_space_group_name_Hall 'P 1'
loop_
_atom_site_label
_atom_site_fract_x
_atom_site_fract_y
_atom_site_fract_z
Sr1 0.0000 0.0000 0.0000
Sr2 0.0006 0.4881 0.0040
Sr3 0.2457 0.2366 0.4974
Sr4 0.2525 0.7461 0.5011
Sr5 0.4974 0.9908 0.0007
Sr6 0.5045 0.4960 0.0039
Sr7 0.7457 0.2391 0.4988
Sr8 0.7542 0.7452 0.5016
Ga1 0.0064 0.8364 0.2448
Ga2 0.0143 0.2323 0.7511
Ga3 0.0956 0.7282 0.7531
Ga4 0.1572 0.0070 0.7539
Ga5 0.2375 0.5040 0.7499
Ga6 0.2408 0.8924 0.2469
Ga7 0.2668 0.4005 0.2528
Ga8 0.4858 0.7585 0.2499
Ga9 0.4878 0.2520 0.2490
Ga10 0.5145 0.2324 0.7521
Ga11 0.5946 0.7279 0.7507
Ga12 0.6560 0.0067 0.7524
Ga13 0.7385 0.5060 0.7528
Ga14 0.7619 0.4820 0.2510
Ga15 0.7631 0.9739 0.2473
Ga16 0.9855 0.3359 0.2519
S1 0.0408 0.2839 0.5842
S2 0.0426 0.7837 0.5875
S3 0.0437 0.2862 0.0845
S4 0.2062 0.9496 0.9215
S5 0.2081 0.4501 0.4187
S6 0.2096 0.4520 0.9168
S7 0.2209 0.9625 0.4380
S8 0.2767 0.7146 0.2473
S9 0.2805 0.7098 0.7499
S10 0.2816 0.2134 0.2484
S11 0.3120 0.2143 0.7550
S12 0.4397 0.5205 0.7486
S13 0.4556 0.0443 0.2464
S14 0.4717 0.0269 0.7533
S15 0.4727 0.5588 0.2534
S16 0.5395 0.7825 0.0828
S17 0.5437 0.2852 0.0847
S18 0.5442 0.2885 0.5872
S19 0.5444 0.7859 0.5847
S20 0.7063 0.4491 0.4161
S21 0.7066 0.9491 0.9182
S22 0.7093 0.9506 0.4150
S23 0.7118 0.4533 0.9200
S24 0.7787 0.1761 0.2490
S25 0.7842 0.7137 0.7558
S26 0.7934 0.6882 0.2504
S27 0.8105 0.2128 0.7522
S28 0.9433 0.5246 0.7576
S29 0.9682 0.0130 0.2424
S30 0.9686 0.5210 0.2528
S31 0.9712 0.0265 0.7514

# 6
# Ca2ZrSi | Alexandria via LeMat-Bulk | SCAN | PBEsol geometry
# Total magnetic moment   1.61 μB per cell
# Fermi-level density of states   2.47 states/eV/cell
# VASP energy   -14.977 eV/atom
# ΔE_f (raw)   0.1 eV per formula unit
data_Ca2ZrSi
_chemical_formula_sum 'Ca2 Zr1 Si1'
_cell_length_a 4.3219
_cell_length_b 4.3219
_cell_length_c 4.8697
_cell_angle_alpha 90.00
_cell_angle_beta 90.00
_cell_angle_gamma 90.00
_symmetry_space_group_name_H-M 'P 4/m m m'
_symmetry_Int_Tables_number 123
_symmetry_space_group_name_Hall '-P 4 2'
loop_
_atom_site_label
_atom_site_fract_x
_atom_site_fract_y
_atom_site_fract_z
Ca1 0.0000 0.5000 0.0000
Zr1 0.0000 0.0000 0.5000
Si1 0.5000 0.5000 0.5000